A plane-wave DFT calculation with PBE-GGA was carried out for GeB2Pt2 after structural relaxation.

The calculated total energy is -6.09 eV/atom. Its density of states at the Fermi level is 2.1 states/eV per cell. Its energy of formation from the pure elements is -0.4 eV/f.u.

It has space group I4/mmm (No. 139), with a = 3.134 Å, b = 3.134 Å, c = 13.559 Å, α = 90.00°, β = 90.00° and γ = 90.00°. The inequivalent atoms are Ge at (0.000, 0.000, 0.000), B at (0.000, 0.500, 0.250) and Pt at (0.000, 0.000, 0.357).